This record from the Alexandria database describes an optimized crystal structure of Pr3MgC. The functional is GGA-PBE.

Results
E = -0.3712 Ry per atom
Energy of formation = -19 meV/atom
Total magnetic moment = 0.00 Bohr magnetons per cell

Lattice parameters (Å, degrees): 5.221 5.221 5.221 90.00 90.00 90.00
Sites, in units of the cell vectors:
Pr 0.500 0.000 0.000
Pr 0.000 0.000 0.500
Pr 0.000 0.500 0.000
C 0.000 0.000 0.000
Mg 0.500 0.500 0.500

***

This record from the Alexandria database describes an optimized crystal structure of CaPmC. The functional is GGA-PBE.

Results
E = -0.3909 Ry per atom
Energy of formation = 7 meV/atom
Total magnetic moment = 0.00 Bohr magnetons per cell

Lattice parameters (Å, degrees): 3.745 3.745 6.621 90.00 90.00 120.00
Sites, in units of the cell vectors:
Ca 0.000 0.000 0.123
C 0.333 0.667 0.350
Pm 0.667 0.333 0.527

***

This record from the Alexandria database describes an optimized crystal structure of SiNi2Pt. The functional is GGA-PBE.

Results
E = -0.4480 Ry per atom
Total magnetic moment = 0.00 Bohr magnetons per cell
Formation energy (no corrections) = -0.339 eV per atom

Lattice parameters (Å, degrees): 2.730 3.390 5.306 90.00 90.00 90.00
Sites, in units of the cell vectors:
Si 0.500 0.500 0.779
Ni 0.000 0.000 0.995
Ni 0.500 0.500 0.219
Pt 0.000 0.000 0.507

***

This record from the Alexandria database describes an optimized crystal structure of ZnInTc2. The functional is GGA-PBE.

Results
E = -0.4346 Ry per atom
Energy of formation = 273 meV/atom
Total magnetic moment = 0.00 Bohr magnetons per cell

Lattice parameters (Å, degrees): 5.161 5.161 5.161 142.80 128.48 65.25
Sites, in units of the cell vectors:
Zn 0.509 0.509 0.000
In 0.249 0.749 0.500
Tc 0.756 0.256 0.500
Tc 0.985 0.985 0.000